[1]
Computed, not measured: a relaxed structure of CaNdAlHg at the PBE-GGA level of DFT.

a = 3.6946 Å, b = 3.6946 Å, c = 7.8415 Å
α = 90.00°, β = 90.00°, γ = 90.00°
Element x y z (fractional)
Ca1 0.0000 0.0000 0.8600
Nd1 0.0000 0.0000 0.3478
Al1 0.5000 0.5000 0.1057
Hg1 0.5000 0.5000 0.6145

polymorph energy (0 for the lowest one)	0.0	kJ per mole of atoms
total DFT energy (no corrections)	-12.43	eV for the cell shown
SG	P4mm
ΔE_f	-405	meV per atom

---

[2]
Computed, not measured: a relaxed structure of Sm4Tm4MgO12 at the PBE-GGA level of DFT.

a = 7.5081 Å, b = 5.8013 Å, c = 6.6078 Å
α = 92.16°, β = 90.00°, γ = 90.00°
Last column: magnetic moment on the atom in μB.
Element x y z (fractional)
Sm1 0.5000 0.9052 0.1334  0.02
Sm2 0.0000 0.4613 0.4368  0.15
Sm3 0.5000 0.4240 0.3641  0.01
Sm4 0.0000 0.9247 0.0835  0.22
Tm1 0.2265 0.9736 0.5813  0.19
Tm2 0.7735 0.9736 0.5813  0.19
Tm3 0.2183 0.4356 0.9600  0.26
Tm4 0.7817 0.4356 0.9600  0.26
Mg1 0.5000 0.6362 0.7464  0.00
O1 0.0000 0.2084 0.8370  0.01
O2 0.7389 0.1844 0.2171  0.01
O3 0.2611 0.1844 0.2171  0.01
O4 0.6941 0.3657 0.6379  0.00
O5 0.3059 0.3657 0.6379  0.00
O6 0.5000 0.4917 0.0227  0.01
O7 0.0000 0.7564 0.6532  0.03
O8 0.2102 0.6876 0.2716  0.03
O9 0.7898 0.6876 0.2716  0.03
O10 0.2976 0.8294 0.8725  0.01
O11 0.7024 0.8294 0.8725  0.01
O12 0.5000 0.8334 0.4965  0.01

polymorph energy (0 for the lowest one)	5.5	kJ per mole of atoms
total DFT energy (no corrections)	-163.49	eV for the cell shown
SG	Pm
raw formation energy	-3.13	eV/atom

---

[3]
Computed, not measured: a relaxed structure of KAcMgBr6 at the PBE-GGA level of DFT.

a = 7.5228 Å, b = 7.5228 Å, c = 14.2286 Å
α = 90.00°, β = 90.00°, γ = 120.00°
Element x y z (fractional)
K1 0.0000 0.0000 0.0000
K2 0.0000 0.0000 0.5000
Ac1 0.3333 0.6667 0.2500
Ac2 0.6667 0.3333 0.7500
Mg1 0.6667 0.3333 0.2500
Mg2 0.3333 0.6667 0.7500
Br1 0.6512 0.6178 0.1372
Br2 0.9666 0.3488 0.1372
Br3 0.3488 0.9666 0.6372
Br4 0.0334 0.6512 0.8628
Br5 0.3822 0.3488 0.3628
Br6 0.9666 0.6178 0.3628
Br7 0.6178 0.9666 0.8628
Br8 0.6512 0.0334 0.3628
Br9 0.0334 0.3822 0.6372
Br10 0.3822 0.0334 0.1372
Br11 0.6178 0.6512 0.6372
Br12 0.3488 0.3822 0.8628

total DFT energy (no corrections)	-65.59	eV for the cell shown
SG	P-31c
raw formation energy	-1.77	eV/atom

---

Please write out number 2 again, unchanged.
Computed, not measured: a relaxed structure of Sm4Tm4MgO12 at the PBE-GGA level of DFT.

a = 7.5081 Å, b = 5.8013 Å, c = 6.6078 Å
α = 92.16°, β = 90.00°, γ = 90.00°
Last column: magnetic moment on the atom in μB.
Element x y z (fractional)
Sm1 0.5000 0.9052 0.1334  0.02
Sm2 0.0000 0.4613 0.4368  0.15
Sm3 0.5000 0.4240 0.3641  0.01
Sm4 0.0000 0.9247 0.0835  0.22
Tm1 0.2265 0.9736 0.5813  0.19
Tm2 0.7735 0.9736 0.5813  0.19
Tm3 0.2183 0.4356 0.9600  0.26
Tm4 0.7817 0.4356 0.9600  0.26
Mg1 0.5000 0.6362 0.7464  0.00
O1 0.0000 0.2084 0.8370  0.01
O2 0.7389 0.1844 0.2171  0.01
O3 0.2611 0.1844 0.2171  0.01
O4 0.6941 0.3657 0.6379  0.00
O5 0.3059 0.3657 0.6379  0.00
O6 0.5000 0.4917 0.0227  0.01
O7 0.0000 0.7564 0.6532  0.03
O8 0.2102 0.6876 0.2716  0.03
O9 0.7898 0.6876 0.2716  0.03
O10 0.2976 0.8294 0.8725  0.01
O11 0.7024 0.8294 0.8725  0.01
O12 0.5000 0.8334 0.4965  0.01

polymorph energy (0 for the lowest one)	5.5	kJ per mole of atoms
total DFT energy (no corrections)	-163.49	eV for the cell shown
SG	Pm
raw formation energy	-3.13	eV/atom

---

- Among the records above, which one has the highest total DFT energy (no corrections)?
  CaNdAlHg

---

- Which of these has the highest total DFT energy (no corrections)?
  CaNdAlHg

---

Copy entry 1 word for word.
Computed, not measured: a relaxed structure of CaNdAlHg at the PBE-GGA level of DFT.

a = 3.6946 Å, b = 3.6946 Å, c = 7.8415 Å
α = 90.00°, β = 90.00°, γ = 90.00°
Element x y z (fractional)
Ca1 0.0000 0.0000 0.8600
Nd1 0.0000 0.0000 0.3478
Al1 0.5000 0.5000 0.1057
Hg1 0.5000 0.5000 0.6145

polymorph energy (0 for the lowest one)	0.0	kJ per mole of atoms
total DFT energy (no corrections)	-12.43	eV for the cell shown
SG	P4mm
ΔE_f	-405	meV per atom